PtI2F: optimized geometry, GGA-PBE.

Cell lengths 4.868, 4.868, 4.868 Å; angles 60.00, 60.00, 60.00 degrees
Fractional positions:
1 Pt 0.000 0.000 0.000
2 I 0.250 0.250 0.250
3 I 0.750 0.750 0.750
4 F 0.500 0.500 0.500

Results
Space-group type: Fm-3m, No. 225
Formation energy (no corrections), meV per atom: 46
Energy above the most stable polymorph in this dataset, meV/atom: 198.3
Total DFT energy (no corrections), eV/atom: -2.707

PtIF2: optimized geometry, GGA-PBE.

Cell lengths 9.216, 9.216, 9.216 Å; angles 19.63, 19.63, 19.63 degrees
Fractional positions:
1 Pt 0.000 0.000 0.000
2 I 0.500 0.500 0.500
3 F 0.425 0.425 0.425
4 F 0.575 0.575 0.575

Results
Space-group type: R-3m, No. 166
Formation energy (no corrections), meV per atom: -46
Energy above the most stable polymorph in this dataset, meV/atom: 451.1
Total DFT energy (no corrections), eV/atom: -2.879

Rb2PtI2F4: optimized geometry, GGA-PBE.

Cell lengths 6.833, 6.833, 6.833 Å; angles 114.98, 114.98, 98.95 degrees
Fractional positions:
1 Rb 0.250 0.750 0.500
2 Rb 0.750 0.250 0.500
3 Pt 0.000 0.000 0.000
4 I 0.302 0.302 0.000
5 I 0.698 0.698 0.000
6 F 0.192 0.192 0.384
7 F 0.192 0.808 0.000
8 F 0.808 0.192 0.000
9 F 0.808 0.808 0.616

Results
Space-group type: I4/mmm, No. 139
Formation energy (no corrections), meV per atom: -1633
Total DFT energy (no corrections), eV/atom: -3.696

Rb2PtIF6: optimized geometry, GGA-PBE.

Cell lengths 6.929, 6.929, 6.929 Å; angles 122.51, 122.51, 85.70 degrees
Fractional positions:
1 Rb 0.250 0.750 0.500
2 Rb 0.750 0.250 0.500
3 Pt 0.000 0.000 0.000
4 I 0.500 0.500 0.000
5 F 0.196 0.196 0.000
6 F 0.213 0.213 0.426
7 F 0.213 0.787 0.000
8 F 0.787 0.213 0.000
9 F 0.787 0.787 0.574
10 F 0.804 0.804 0.000

Results
Space-group type: I4/mmm, No. 139
Formation energy (no corrections), meV per atom: -1739
Total DFT energy (no corrections), eV/atom: -3.814